# 1
The following is a DFT calculation (PBEsol) of a relaxed ZnCdAu2 crystal.

Calculated values
N(E_F) = 1.0 states/eV/cell
Final energy = -11.3 eV per formula unit

a b c (Å): 4.755 4.755 4.755
angles (deg): 126.45 126.45 79.14
Positions (direct):
Zn  0.000  0.000  0.000
Cd  0.500  0.500  0.000
Au  0.250  0.750  0.500
Au  0.750  0.250  0.500

# 2
The following is a DFT calculation (PBEsol) of a relaxed ZnCd2Au crystal.

Calculated values
N(E_F) = 1.2 states/eV/cell
Final energy = -8.2 eV per formula unit

a b c (Å): 5.147 5.147 5.147
angles (deg): 136.08 130.31 68.45
Positions (direct):
Zn  0.000  0.000  0.000
Cd  0.254  0.754  0.500
Cd  0.517  0.517  0.000
Au  0.773  0.273  0.500